# CoIrPtO6

CoIrPtO6 after structural relaxation (GGA+U, Alexandria).

The space group is P-31c (No. 163) and the conventional cell measures 5.1625, 5.1625 and 8.7554 Å, with angles of 90.00, 90.00 and 120.00 degrees. The distinct sites, in fractional coordinates, are Co at (0.0000, 0.0000, 0.0000), Ir at (0.3333, 0.6667, 0.2500), Pt at (0.3333, 0.6667, 0.7500) and O at (0.0076, 0.3525, 0.1277).

For the uncorrected energy, the calculation gives -55.2 eV per formula unit. As for the total magnetization: 0.747 μB/f.u.